First-principles (GGA-PBEsol) data for crystalline Mg7SiN6 at its relaxed geometry, as listed in the Alexandria database.

Cell: 5.4690 10.2298 11.3777 Å, 90.00 90.00 90.00°
Closest atoms and distances in Å follow each position.
Space group Ibam (No. 72)
Asymmetric unit:
Mg: 0.0000 0.0000 0.2500 x4  4 N 2.18
Mg: 0.1067 0.2718 0.1208 x16  4 N 2.10-2.23
Mg: 0.2183 0.0428 0.0000 x8  4 N 2.08-2.22
Si: 0.0000 0.5000 0.2500 x4  4 N 1.75
N: 0.1282 0.1550 0.5000 x8  6 Mg 2.08-2.23
N: 0.1941 0.3940 0.3274 x16  1 Si 1.75

Properties
DOS(E_F)	0.0	states/eV/f.u.
crystal system	orthorhombic
formation energy (no corrections)	-907	meV per atom
E_tot	-5.830	eV per atom
total moment	0.00	μB per formula unit



First-principles (GGA-PBEsol) data for crystalline Hf2ZnInRe at its relaxed geometry, as listed in the Alexandria database.

Cell: 4.7973 4.7973 4.5229 Å, 90.00 90.00 90.00°
Closest atoms and distances in Å follow each position.
Space group P4/mmm (No. 123)
Asymmetric unit:
Hf: 0.0000 0.5000 0.0000 x2  2 Zn 2.40
Zn: 0.0000 0.0000 0.0000 x1  2 Re 2.26, 4 Hf 2.40
In: 0.5000 0.5000 0.5000 x1  8 Hf 3.30, 4 Re 3.39
Re: 0.0000 0.0000 0.5000 x1  2 Zn 2.26

Properties
DOS(E_F)	2.8	states/eV/f.u.
crystal system	tetragonal
E_tot	-6.959	eV per atom
total moment	0.00	μB per formula unit



First-principles (GGA-PBEsol) data for crystalline TiAuSe2N at its relaxed geometry, as listed in the Alexandria database.

Cell: 5.1523 5.1523 3.6984 Å, 90.00 90.00 90.00°
Closest atoms and distances in Å follow each position.
Space group P4/mmm (No. 123)
Asymmetric unit:
Ti: 0.0000 0.0000 0.0000 x1  8 Se 3.17
Au: 0.5000 0.5000 0.5000 x1  2 N 1.85
Se: 0.0000 0.5000 0.5000 x2  2 Au 2.58
N: 0.5000 0.5000 0.0000 x1  2 Au 1.85

Properties
DOS(E_F)	5.1	states/eV/f.u.
crystal system	tetragonal
formation energy (no corrections)	791	meV per atom
E_tot	-4.904	eV per atom
total moment	1.70	μB per formula unit



First-principles (GGA-PBEsol) data for crystalline ScAl2Tc at its relaxed geometry, as listed in the Alexandria database.

Cell: 3.5293 4.1587 4.2941 Å, 90.00 90.00 90.00°
Closest atoms and distances in Å follow each position.
Space group Pmmm (No. 47)
Asymmetric unit:
Sc: 0.0000 0.0000 0.0000 x1  4 Tc 2.73, 8 Al 2.78-2.99
Al: 0.0000 0.5000 0.5000 x1  4 Al 2.73, 4 Tc 2.78, 4 Sc 2.99
Al: 0.5000 0.0000 0.5000 x1  4 Al 2.73, 4 Sc 2.78, 4 Tc 2.99
Tc: 0.5000 0.5000 0.0000 x1  4 Sc 2.73, 8 Al 2.78-2.99

Properties
DOS(E_F)	1.8	states/eV/f.u.
crystal system	orthorhombic
E_tot	-6.861	eV per atom
total moment	0.00	μB per formula unit



First-principles (GGA-PBEsol) data for crystalline NaInPd3 at its relaxed geometry, as listed in the Alexandria database.

Cell: 4.5315 4.5315 4.5315 Å, 90.00 90.00 90.00°
Closest atoms and distances in Å follow each position.
Space group Pm-3m (No. 221)
Asymmetric unit:
Na: 0.0000 0.0000 0.0000 x1  6 Pd 2.27
In: 0.5000 0.5000 0.5000 x1  12 Pd 3.20
Pd: 0.0000 0.0000 0.5000 x3  2 Na 2.27

Properties
DOS(E_F)	0.9	states/eV/f.u.
crystal system	cubic
E_tot	-3.727	eV per atom
total moment	0.00	μB per formula unit



First-principles (GGA-PBEsol) data for crystalline HoCo2Si2 at its relaxed geometry, as listed in the Alexandria database.

Cell: 3.8208 3.8208 9.6296 Å, 90.00 90.00 90.00°
Closest atoms and distances in Å follow each position.
Space group I4/mmm (No. 139)
Asymmetric unit:
Ho: 0.0000 0.0000 0.0000 x2  8 Si 2.97, 8 Co 3.07
Co: 0.0000 0.5000 0.2500 x4  4 Si 2.24
Si: 0.0000 0.0000 0.3722 x4  4 Co 2.24, 1 Si 2.46

Properties
DOS(E_F)	2.5	states/eV/f.u.
crystal system	tetragonal
formation energy (no corrections)	-902	meV per atom
E_tot	-7.285	eV per atom
total moment	0.00	μB per formula unit



First-principles (GGA-PBEsol) data for crystalline NaLi2Ir at its relaxed geometry, as listed in the Alexandria database.

Cell: 6.2226 6.2226 6.2226 Å, 90.00 90.00 90.00°
Closest atoms and distances in Å follow each position.
Space group Fm-3m (No. 225)
Asymmetric unit:
Na: 0.0000 0.0000 0.0000 x4  8 Li 2.69
Li: 0.2500 0.2500 0.2500 x8  4 Na 2.69, 4 Ir 2.69
Ir: 0.0000 0.0000 0.5000 x4  8 Li 2.69

Properties
DOS(E_F)	7.2	states/eV/f.u.
crystal system	cubic
E_tot	-3.483	eV per atom
total moment	0.00	μB per formula unit



First-principles (GGA-PBEsol) data for crystalline Rb2MnNbI at its relaxed geometry, as listed in the Alexandria database.

Cell: 6.8366 6.8366 5.0182 Å, 90.00 90.00 90.00°
Closest atoms and distances in Å follow each position.
Space group P4/mmm (No. 123)
Asymmetric unit:
Rb: 0.0000 0.5000 0.0000 x2  2 Mn 3.42
Mn: 0.0000 0.0000 0.0000 x1  2 I 2.51
Nb: 0.5000 0.5000 0.5000 x1  8 Rb 4.24
I: 0.0000 0.0000 0.5000 x1  2 Mn 2.51

Properties
DOS(E_F)	12.5	states/eV/f.u.
crystal system	tetragonal
formation energy (no corrections)	1436	meV per atom
E_tot	-3.444	eV per atom
total moment	9.08	μB per formula unit